Compound: Tm5InRu2Pb2
Source: Alexandria via LeMat-Bulk
Functional: PBE
Structure: relaxed

Results
Total magnetic moment = 0.00 Bohr magnetons per cell
E_tot = -5.472 eV per atom
E_form = -8.4 kcal/mol of atoms
Space group = No. 127
Density of states at the Fermi level = 4.11 states/eV/f.u.

Unit cell a=3.6233 b=11.7919 c=11.7919 alpha=90.00 beta=90.00 gamma=90.00
With the nearest neighbours (Å) after each atom.
Fractional coordinates of all 20 atoms:
Tm  0.5000  0.2092  0.0732  2 Ru 2.71
Tm  0.5000  0.7908  0.9268  2 Ru 2.71
Tm  0.5000  0.0732  0.7908  2 Ru 2.71
Tm  0.5000  0.7092  0.4268  2 Ru 2.71
Tm  0.5000  0.9268  0.2092  2 Ru 2.71
Tm  0.5000  0.2908  0.5732  2 Ru 2.71
Tm  0.5000  0.5732  0.7092  2 Ru 2.71
Tm  0.5000  0.4268  0.2908  2 Ru 2.71
Tm  0.5000  0.5000  0.0000  4 Ru 2.83
Tm  0.5000  0.0000  0.5000  4 Ru 2.83
In  0.0000  0.0000  0.0000  8 Tm 3.18
In  0.0000  0.5000  0.5000  8 Tm 3.18
Ru  0.0000  0.1303  0.6303  6 Tm 2.71-2.83
Ru  0.0000  0.8697  0.3697  6 Tm 2.71-2.83
Ru  0.0000  0.6303  0.8697  6 Tm 2.71-2.83
Ru  0.0000  0.3697  0.1303  6 Tm 2.71-2.83
Pb  0.0000  0.6766  0.1766  1 Ru 3.22, 6 Tm 3.46-3.48
Pb  0.0000  0.3234  0.8234  1 Ru 3.22, 6 Tm 3.46-3.48
Pb  0.0000  0.1766  0.3234  1 Ru 3.22, 6 Tm 3.46-3.48
Pb  0.0000  0.8234  0.6766  1 Ru 3.22, 6 Tm 3.46-3.48

Compound: In2PbS
Source: Alexandria via LeMat-Bulk
Functional: PBE
Structure: relaxed

Results
Total magnetic moment = 0.00 Bohr magnetons per cell
Energy above the most stable polymorph in this dataset = 0 meV/atom
E_tot = -3.494 eV per atom
Space group = No. 160
Formation energy without anion corrections = -0.166 eV/atom
Density of states at the Fermi level = 2.27 states/eV/f.u.

Unit cell a=3.7023 b=3.7023 c=9.3149 alpha=78.54 beta=78.54 gamma=60.00
With the nearest neighbours (Å) after each atom.
Fractional coordinates of all 4 atoms:
In  0.0666  0.0666  0.8002  3 S 2.75
In  0.2667  0.2667  0.2000  3 S 2.86
Pb  0.4969  0.4969  0.5092  6 In 3.40-3.53, 6 Pb 3.70
S  0.6698  0.6698  0.9906  6 In 2.75-2.86

Compound: In2PbS
Source: Alexandria via LeMat-Bulk
Functional: PBE
Structure: relaxed

Results
Total magnetic moment = 0.00 Bohr magnetons per cell
Energy above the most stable polymorph in this dataset = 276 meV/atom
E_tot = -3.218 eV per atom
Space group = No. 225
Formation energy without anion corrections = 0.110 eV/atom
Density of states at the Fermi level = 2.82 states/eV/f.u.

Unit cell a=5.2759 b=5.2759 c=5.2759 alpha=60.00 beta=60.00 gamma=60.00
With the nearest neighbours (Å) after each atom.
Fractional coordinates of all 4 atoms:
Pb  0.5000  0.5000  0.5000  8 In 3.23
S  0.0000  0.0000  0.0000  8 In 3.23
In  0.2500  0.2500  0.2500  4 S 3.23, 4 Pb 3.23
In  0.7500  0.7500  0.7500  4 Pb 3.23, 4 S 3.23

Compound: In5Pb3S12
Source: Alexandria via LeMat-Bulk
Functional: PBE
Structure: relaxed

Results
Total magnetic moment = 6.72 Bohr magnetons per cell
E_tot = -4.052 eV per atom
Space group = No. 230
Formation energy without anion corrections = -0.334 eV/atom
Density of states at the Fermi level = 24.11 states/eV/f.u.

Unit cell a=13.9113 b=13.9113 c=13.9113 alpha=109.47 beta=109.47 gamma=109.47
With the nearest neighbours (Å) after each atom.
Fractional coordinates of all 80 atoms:
Pb  0.7500  0.3750  0.1250  8 S 3.07
Pb  0.8750  0.7500  0.1250  8 S 3.07
Pb  0.3750  0.7500  0.6250  8 S 3.07
Pb  0.2500  0.1250  0.3750  8 S 3.07
Pb  0.8750  0.1250  0.2500  8 S 3.07
Pb  0.3750  0.6250  0.2500  8 S 3.07
Pb  0.6250  0.3750  0.7500  8 S 3.07
Pb  0.1250  0.8750  0.7500  8 S 3.07
Pb  0.7500  0.8750  0.6250  8 S 3.07
Pb  0.6250  0.2500  0.3750  8 S 3.07
Pb  0.1250  0.2500  0.8750  8 S 3.07
Pb  0.2500  0.6250  0.8750  8 S 3.07
In  0.1250  0.3750  0.2500  4 S 2.48
In  0.0000  0.5000  0.0000  6 S 2.64
In  0.0000  0.0000  0.0000  6 S 2.64
In  0.3750  0.2500  0.1250  4 S 2.48
In  0.5000  0.0000  0.5000  6 S 2.64
In  0.5000  0.5000  0.0000  6 S 2.64
In  0.1250  0.7500  0.3750  4 S 2.48
In  0.7500  0.1250  0.8750  4 S 2.48
In  0.7500  0.6250  0.3750  4 S 2.48
In  0.3750  0.1250  0.7500  4 S 2.48
In  0.6250  0.8750  0.2500  4 S 2.48
In  0.5000  0.5000  0.5000  6 S 2.64
In  0.5000  0.0000  0.0000  6 S 2.64
In  0.0000  0.0000  0.5000  6 S 2.64
In  0.2500  0.3750  0.6250  4 S 2.48
In  0.2500  0.8750  0.1250  4 S 2.48
In  0.0000  0.5000  0.5000  6 S 2.64
In  0.8750  0.2500  0.6250  4 S 2.48
In  0.6250  0.7500  0.8750  4 S 2.48
In  0.8750  0.6250  0.7500  4 S 2.48
S  0.7122  0.1246  0.0368  2 In 2.48-2.64
S  0.3246  0.5368  0.4122  2 In 2.48-2.64
S  0.9632  0.3754  0.2878  2 In 2.48-2.64
S  0.5368  0.2122  0.1246  2 In 2.48-2.64
S  0.5876  0.7122  0.6754  2 In 2.48-2.64
S  0.9632  0.5878  0.1754  2 In 2.48-2.64
S  0.3246  0.7878  0.4124  2 In 2.48-2.64
S  0.0878  0.9124  0.1246  2 In 2.48-2.64
S  0.5878  0.9632  0.6754  2 In 2.48-2.64
S  0.7122  0.5876  0.1754  2 In 2.48-2.64
S  0.7878  0.4632  0.3754  2 In 2.48-2.64
S  0.8246  0.9122  0.0368  2 In 2.48-2.64
S  0.1246  0.7122  0.5368  2 In 2.48-2.64
S  0.3754  0.4122  0.0876  2 In 2.48-2.64
S  0.0876  0.9122  0.3754  2 In 2.48-2.64
S  0.4124  0.1246  0.5878  2 In 2.48-2.64
S  0.0876  0.1754  0.2122  2 In 2.48-2.64
S  0.4632  0.6754  0.0878  2 In 2.48-2.64
S  0.8246  0.9124  0.2878  2 In 2.48-2.64
S  0.1246  0.4124  0.0878  2 In 2.48-2.64
S  0.3754  0.9632  0.7878  2 In 2.48-2.64
S  0.5878  0.6246  0.4124  2 In 2.48-2.64
S  0.9122  0.8246  0.5368  2 In 2.48-2.64
S  0.7878  0.3246  0.9124  2 In 2.48-2.64
S  0.4122  0.3754  0.5876  2 In 2.48-2.64
S  0.0878  0.1754  0.4632  2 In 2.48-2.64
S  0.2122  0.6754  0.0876  2 In 2.48-2.64
S  0.1754  0.0876  0.7122  2 In 2.48-2.64
S  0.6246  0.0368  0.2122  2 In 2.48-2.64
S  0.8754  0.5876  0.9122  2 In 2.48-2.64
S  0.5368  0.3246  0.9122  2 In 2.48-2.64
S  0.5876  0.8754  0.4122  2 In 2.48-2.64
S  0.9124  0.8246  0.7878  2 In 2.48-2.64
S  0.9124  0.0878  0.6246  2 In 2.48-2.64
S  0.8754  0.2878  0.4632  2 In 2.48-2.64
S  0.1754  0.0878  0.9632  2 In 2.48-2.64
S  0.6246  0.5878  0.9124  2 In 2.48-2.64
S  0.4122  0.0368  0.3246  2 In 2.48-2.64
S  0.2878  0.4124  0.8246  2 In 2.48-2.64
S  0.2122  0.5368  0.6246  2 In 2.48-2.64
S  0.9122  0.0876  0.8754  2 In 2.48-2.64
S  0.6754  0.2122  0.5876  2 In 2.48-2.64
S  0.4632  0.7878  0.8754  2 In 2.48-2.64
S  0.0368  0.4122  0.8246  2 In 2.48-2.64
S  0.4124  0.2878  0.3246  2 In 2.48-2.64
S  0.0368  0.6246  0.7122  2 In 2.48-2.64
S  0.6754  0.4632  0.5878  2 In 2.48-2.64
S  0.2878  0.8754  0.9632  2 In 2.48-2.64

Compound: In2PbS4
Source: Alexandria via LeMat-Bulk
Functional: PBE
Structure: relaxed

Results
Total magnetic moment = 0.00 Bohr magnetons per cell
Energy above the most stable polymorph in this dataset = 0 meV/atom
E_tot = -4.212 eV per atom
Space group = No. 62
Formation energy without anion corrections = -0.541 eV/atom

Unit cell a=3.8974 b=11.9904 c=13.8208 alpha=90.00 beta=90.00 gamma=90.00
With the nearest neighbours (Å) after each atom.
Fractional coordinates of all 28 atoms:
In  0.2500  0.5693  0.3871  6 S 2.57-2.77
In  0.2500  0.0693  0.1129  6 S 2.57-2.77
In  0.7500  0.4307  0.6129  6 S 2.57-2.77
In  0.7500  0.9307  0.8871  6 S 2.57-2.77
In  0.2500  0.0803  0.5979  6 S 2.62-2.73
In  0.2500  0.5803  0.9021  6 S 2.62-2.73
In  0.7500  0.9197  0.4021  6 S 2.62-2.73
In  0.7500  0.4197  0.0979  6 S 2.62-2.73
Pb  0.2500  0.2548  0.3377  7 S 2.96-3.13
Pb  0.2500  0.7548  0.1623  7 S 2.96-3.13
Pb  0.7500  0.7452  0.6623  7 S 2.96-3.13
Pb  0.7500  0.2452  0.8377  7 S 2.96-3.13
S  0.2500  0.0883  0.9275  3 In 2.57-2.77
S  0.2500  0.5883  0.5725  3 In 2.57-2.77
S  0.7500  0.9117  0.0725  3 In 2.57-2.77
S  0.7500  0.4117  0.4275  3 In 2.57-2.77
S  0.2500  0.4612  0.2196  3 In 2.62-2.65
S  0.2500  0.9612  0.2804  3 In 2.62-2.65
S  0.7500  0.5388  0.7804  3 In 2.62-2.65
S  0.7500  0.0388  0.7196  3 In 2.62-2.65
S  0.2500  0.2945  0.6653  3 In 2.64-2.73
S  0.2500  0.7945  0.8347  3 In 2.64-2.73
S  0.7500  0.7055  0.3347  3 In 2.64-2.73
S  0.7500  0.2055  0.1653  3 In 2.64-2.73
S  0.2500  0.3767  0.9714  3 In 2.62-2.67
S  0.2500  0.8767  0.5286  3 In 2.62-2.67
S  0.7500  0.6233  0.0286  3 In 2.62-2.67
S  0.7500  0.1233  0.4714  3 In 2.62-2.67

Compound: In2PbS4
Source: Alexandria via LeMat-Bulk
Functional: PBE
Structure: relaxed

Results
Total magnetic moment = 0.00 Bohr magnetons per cell
Energy above the most stable polymorph in this dataset = 26 meV/atom
E_tot = -4.186 eV per atom
Space group = No. 63
Formation energy without anion corrections = -0.515 eV/atom

Unit cell a=3.9504 b=6.7407 c=12.7406 alpha=90.00 beta=90.00 gamma=107.04
With the nearest neighbours (Å) after each atom.
Fractional coordinates of all 14 atoms:
In  0.1408  0.2817  0.4351  6 S 2.56-2.81
In  0.8592  0.7183  0.9351  6 S 2.56-2.81
In  0.1408  0.2817  0.0649  6 S 2.56-2.81
In  0.8592  0.7183  0.5649  6 S 2.56-2.81
Pb  0.5979  0.1958  0.7500  6 S 2.81-3.12
Pb  0.4021  0.8042  0.2500  6 S 2.81-3.12
S  0.7709  0.5419  0.1148  3 In 2.56-2.67
S  0.7709  0.5419  0.3852  3 In 2.56-2.67
S  0.2291  0.4581  0.8852  3 In 2.56-2.67
S  0.2291  0.4581  0.6148  3 In 2.56-2.67
S  0.9424  0.8848  0.7500  2 In 2.59, 2 Pb 2.81
S  0.0576  0.1152  0.2500  2 In 2.59, 2 Pb 2.81
S  0.5000  0.0000  0.0000  4 In 2.81
S  0.5000  0.0000  0.5000  4 In 2.81

Compound: In2PbS
Source: Alexandria via LeMat-Bulk
Functional: PBE
Structure: relaxed

Results
Total magnetic moment = 0.00 Bohr magnetons per cell
Energy above the most stable polymorph in this dataset = 30 meV/atom
E_tot = -3.464 eV per atom
Space group = No. 166
Formation energy without anion corrections = -0.136 eV/atom
Density of states at the Fermi level = 2.68 states/eV/f.u.

Unit cell a=3.6720 b=3.6720 c=10.1391 alpha=79.57 beta=79.57 gamma=60.00
With the nearest neighbours (Å) after each atom.
Fractional coordinates of all 4 atoms:
Pb  0.0000  0.0000  0.0000  2 In 3.14
S  0.5000  0.5000  0.5000  6 In 2.79
In  0.1055  0.1055  0.6834  3 S 2.79
In  0.8945  0.8945  0.3166  3 S 2.79

Compound: InPb5S6
Source: Alexandria via LeMat-Bulk
Functional: PBE
Structure: relaxed

Results
Total magnetic moment = 0.00 Bohr magnetons per cell
E_tot = -4.327 eV per atom
Space group = No. 12
Formation energy without anion corrections = -0.490 eV/atom
Density of states at the Fermi level = 4.30 states/eV/f.u.

Unit cell a=7.2672 b=7.2890 c=7.2911 alpha=60.01 beta=80.45 gamma=70.63
With the nearest neighbours (Å) after each atom.
Fractional coordinates of all 12 atoms:
In  0.0000  0.0000  0.0000  6 S 2.89-2.90
Pb  0.5000  0.1683  0.6633  6 S 2.97-3.05
Pb  0.0000  0.3331  0.3337  6 S 2.98-3.00
Pb  0.5000  0.5000  0.0000  6 S 2.98-3.04
Pb  0.0000  0.6669  0.6663  6 S 2.98-3.00
Pb  0.5000  0.8317  0.3367  6 S 2.97-3.05
S  0.7567  0.0806  0.3235  1 In 2.89, 5 Pb 2.97-3.05
S  0.2433  0.5959  0.3235  1 In 2.89, 5 Pb 2.97-3.05
S  0.2474  0.2409  0.0000  1 In 2.90, 5 Pb 2.97-3.04
S  0.7526  0.7591  0.0000  1 In 2.90, 5 Pb 2.97-3.04
S  0.7567  0.4041  0.6765  1 In 2.89, 5 Pb 2.97-3.05
S  0.2433  0.9194  0.6765  1 In 2.89, 5 Pb 2.97-3.05

Question: Which value of total magnetic moment does entry 4 give?
Answer: 6.72 Bohr magnetons per cell

Question: Which formula does entry 5 have?
Answer: In2PbS4

Question: E_tot of number 4 (In5Pb3S12)?
Answer: -4.052 eV per atom

Question: Which formula does entry 2 have?
Answer: In2PbS